The following is a DFT calculation (PBE) of an optimized crystal structure of CeSmCo.

Unit cell a=4.695 b=5.192 c=6.076 alpha=90.00 beta=90.00 gamma=90.00
Space group Pmmn (No. 59, origin choice 2)
Asymmetric unit:
Ce (0.250, 0.250, 0.045) (multiplicity 2)
Sm (0.250, 0.750, 0.399) (multiplicity 2)
Co (0.250, 0.750, 0.864) (multiplicity 2)

Calculated values
Electronic total energy   -36.25 eV per cell
Formation enthalpy at 0 K   -121 meV/atom